1.
Density functional theory data (meta-GGA SCAN) for a crystal of Tl2InPb relaxed with PBEsol.

Geometry as CIF:
```
data_Tl2InPb
_chemical_formula_sum 'Tl8 In4 Pb4'
_cell_length_a 7.662
_cell_length_b 7.662
_cell_length_c 7.662
_cell_angle_alpha 90.00
_cell_angle_beta 90.00
_cell_angle_gamma 90.00
_symmetry_space_group_name_H-M 'F -4 3 m'
_symmetry_Int_Tables_number 216
_symmetry_space_group_name_Hall 'F -4 2 3'
loop_
_atom_site_label
_atom_site_fract_x
_atom_site_fract_y
_atom_site_fract_z
Tl1 0.000 0.000 0.000
Tl2 0.250 0.250 0.250
In1 0.000 0.000 0.500
Pb1 0.250 0.250 0.750
```

---

2.
Density functional theory data (meta-GGA SCAN) for a crystal of TlIn2Pb relaxed with PBEsol.

Geometry as CIF:
```
data_TlIn2Pb
_chemical_formula_sum 'Tl1 In2 Pb1'
_cell_length_a 3.814
_cell_length_b 3.814
_cell_length_c 7.517
_cell_angle_alpha 90.00
_cell_angle_beta 90.00
_cell_angle_gamma 90.00
_symmetry_space_group_name_H-M 'P 4 m m'
_symmetry_Int_Tables_number 99
loop_
_symmetry_equiv_pos_as_xyz
'x,y,z'
'-y,x,z'
'-x,-y,z'
'y,-x,z'
'-x,y,z'
'y,x,z'
'x,-y,z'
'-y,-x,z'
loop_
_atom_site_label
_atom_site_fract_x
_atom_site_fract_y
_atom_site_fract_z
Tl1 0.000 0.000 0.000
In1 0.000 0.000 0.471
In2 0.500 0.500 0.247
Pb1 0.500 0.500 0.720
```

---

3.
Density functional theory data (meta-GGA SCAN) for a crystal of TlInPb2 relaxed with PBEsol.

Geometry as CIF:
```
data_TlInPb2
_chemical_formula_sum 'Tl1 In1 Pb2'
_cell_length_a 3.478
_cell_length_b 5.879
_cell_length_c 5.890
_cell_angle_alpha 80.01
_cell_angle_beta 73.06
_cell_angle_gamma 89.93
_symmetry_space_group_name_H-M 'P 1'
_symmetry_Int_Tables_number 1
loop_
_symmetry_equiv_pos_as_xyz
'x,y,z'
loop_
_atom_site_label
_atom_site_fract_x
_atom_site_fract_y
_atom_site_fract_z
Tl1 0.000 0.000 0.000
In1 0.253 0.752 0.499
Pb1 0.505 0.509 0.995
Pb2 0.753 0.248 0.496
```

---

4.
Density functional theory data (meta-GGA SCAN) for a crystal of TlIn2Pb relaxed with PBEsol.

Geometry as CIF:
```
data_TlIn2Pb
_chemical_formula_sum 'Tl2 In4 Pb2'
_cell_length_a 3.604
_cell_length_b 5.614
_cell_length_c 10.791
_cell_angle_alpha 90.00
_cell_angle_beta 90.00
_cell_angle_gamma 90.00
_symmetry_space_group_name_H-M 'I m m m'
_symmetry_Int_Tables_number 71
_symmetry_space_group_name_Hall '-I 2 2'
loop_
_atom_site_label
_atom_site_fract_x
_atom_site_fract_y
_atom_site_fract_z
Tl1 0.000 0.000 0.000
In1 0.000 0.500 0.252
Pb1 0.000 0.000 0.500
```

---

Number 1: E -1015.2 eV for the cell shown, ρ 10.791 Mg/m³, E_form 0.024 eV/atom. Number 2: E -214.7 eV for the cell shown, ρ 9.736 Mg/m³, E_form 0.051 eV/atom. Number 3: E -257.2 eV for the cell shown, ρ 10.749 Mg/m³, E_form 0.028 eV/atom. Number 4: E -429.2 eV for the cell shown, ρ 9.755 Mg/m³, E_form 0.073 eV/atom.